No. 1
Computed, not measured: a relaxed structure of CdCo2Ni at the PBE-GGA level of DFT.

Unit cell a=8.812 b=8.812 c=8.812 alpha=17.42 beta=17.42 gamma=17.42
Sites, in units of the cell vectors:
Cd 0.750 0.750 0.750
Co 0.991 0.991 0.991
Co 0.509 0.509 0.509
Ni 0.250 0.250 0.250

The electronic total energy comes out at -19.654 eV/f.u. Its energy of formation from the pure elements is 0.314 eV/atom. The total magnetization comes out at 3.91 μB per formula unit. As for the space group: R-3m, No. 166. As for the energy relative to the lowest polymorph listed for this composition: 157 meV per atom.

=====

No. 2
Computed, not measured: a relaxed structure of AlSbP2 at the PBE-GGA level of DFT.

Unit cell a=4.670 b=4.670 c=4.670 alpha=69.92 beta=69.92 gamma=108.21
Sites, in units of the cell vectors:
Sb 0.500 0.000 0.500
Al 0.000 0.500 0.500
P 0.000 0.000 0.000
P 0.500 0.500 0.000

The electronic total energy comes out at -18.265 eV/f.u. For the uncorrected formation energy, the calculation gives 105 meV/atom. The total magnetization comes out at 0.00 μB per formula unit. As for the space group: I4/mmm, No. 139. As for the energy relative to the lowest polymorph listed for this composition: 175 meV per atom.

=====

No. 3
Computed, not measured: a relaxed structure of RbTb4HoSe8 at the PBE-GGA level of DFT.

Unit cell a=8.679 b=8.679 c=8.640 alpha=59.85 beta=59.85 gamma=60.00
Sites, in units of the cell vectors:
Rb 0.377 0.377 0.870
Tb 0.625 0.625 0.126
Tb 0.005 0.485 0.505
Tb 0.485 0.005 0.505
Tb 0.005 0.005 0.505
Ho 0.004 0.004 0.987
Se 0.230 0.804 0.735
Se 0.804 0.230 0.735
Se 0.230 0.230 0.735
Se 0.233 0.233 0.301
Se 0.758 0.227 0.256
Se 0.227 0.758 0.256
Se 0.758 0.758 0.256
Se 0.757 0.757 0.728

The electronic total energy comes out at -76.075 eV/f.u. For the uncorrected formation energy, the calculation gives -1724 meV/atom. The total magnetization comes out at 0.00 μB per formula unit. As for the space group: R3m, No. 160.

=====

No. 4
Computed, not measured: a relaxed structure of CeGd2Mg at the PBE-GGA level of DFT.

Unit cell a=5.491 b=5.491 c=5.491 alpha=60.00 beta=60.00 gamma=60.00
Sites, in units of the cell vectors:
Mg 0.500 0.500 0.500
Gd 0.250 0.250 0.250
Gd 0.750 0.750 0.750
Ce 0.000 0.000 0.000

The electronic total energy comes out at -35.269 eV/f.u. Its energy of formation from the pure elements is 0.105 eV/atom. The total magnetization comes out at 17.99 μB per formula unit. As for the space group: Fm-3m, No. 225. As for the energy relative to the lowest polymorph listed for this composition: 105 meV per atom.

=====

No. 5
Computed, not measured: a relaxed structure of ZrTi3Rh6 at the PBE-GGA level of DFT.

Unit cell a=4.116 b=8.209 c=9.130 alpha=96.34 beta=90.00 gamma=90.00
Sites, in units of the cell vectors:
Zr 0.250 0.939 0.621
Zr 0.750 0.061 0.379
Ti 0.250 0.560 0.395
Ti 0.750 0.440 0.605
Ti 0.250 0.339 0.824
Ti 0.750 0.661 0.176
Ti 0.250 0.755 0.954
Ti 0.750 0.245 0.046
Rh 0.250 0.472 0.105
Rh 0.750 0.528 0.895
Rh 0.250 0.160 0.209
Rh 0.750 0.840 0.791
Rh 0.250 0.611 0.683
Rh 0.750 0.389 0.317
Rh 0.250 0.267 0.517
Rh 0.750 0.733 0.483
Rh 0.250 0.829 0.274
Rh 0.750 0.171 0.726
Rh 0.250 0.064 0.914
Rh 0.750 0.936 0.086

The electronic total energy comes out at -84.149 eV/f.u. Its energy of formation from the pure elements is -0.781 eV/atom. The total magnetization comes out at 0.00 μB per formula unit. As for the space group: P2_1/m, No. 11.

=====

No. 6
Computed, not measured: a relaxed structure of Pr9ErIn2 at the PBE-GGA level of DFT.

Unit cell a=5.048 b=5.048 c=15.426 alpha=90.00 beta=90.00 gamma=90.00
Sites, in units of the cell vectors:
Pr 0.500 0.500 0.000
Pr 0.500 0.500 0.336
Pr 0.500 0.500 0.664
Pr 0.500 0.000 0.172
Pr 0.500 0.000 0.500
Pr 0.500 0.000 0.828
Pr 0.000 0.500 0.172
Pr 0.000 0.500 0.500
Pr 0.000 0.500 0.828
Er 0.000 0.000 0.000
In 0.000 0.000 0.338
In 0.000 0.000 0.662

The electronic total energy comes out at -55.146 eV/f.u. Its energy of formation from the pure elements is -0.174 eV/atom. The total magnetization comes out at 0.00 μB per formula unit. As for the space group: P4/mmm, No. 123.

=====

No. 7
Computed, not measured: a relaxed structure of K5Na6Pb at the PBE-GGA level of DFT.

Unit cell a=11.101 b=6.247 c=10.398 alpha=72.52 beta=80.21 gamma=55.53
Sites, in units of the cell vectors:
Pb 0.000 0.000 0.000
Na 0.805 0.694 0.000
Na 0.787 0.080 0.268
Na 0.213 0.652 0.268
Na 0.213 0.920 0.732
Na 0.787 0.348 0.732
Na 0.195 0.306 0.000
K 0.500 0.177 0.646
K 0.000 0.674 0.652
K 0.000 0.326 0.348
K 0.500 0.500 0.000
K 0.500 0.823 0.354

The electronic total energy comes out at -17.164 eV/f.u. Its energy of formation from the pure elements is -0.004 eV/atom. The total magnetization comes out at 0.00 μB per formula unit. As for the space group: C2/m, No. 12.

=====

No. 8
Computed, not measured: a relaxed structure of NaBAs3 at the PBE-GGA level of DFT.

Unit cell a=4.550 b=4.550 c=4.550 alpha=90.00 beta=90.00 gamma=90.00
Sites, in units of the cell vectors:
Na 0.500 0.500 0.500
As 0.000 0.500 0.000
As 0.000 0.000 0.500
As 0.500 0.000 0.000
B 0.000 0.000 0.000

The electronic total energy comes out at -19.156 eV/f.u. Its energy of formation from the pure elements is 0.558 eV/atom. The total magnetization comes out at 0.00 μB per formula unit. As for the space group: Pm-3m, No. 221. As for the energy relative to the lowest polymorph listed for this composition: 0 meV per atom.

=====

No. 9
Computed, not measured: a relaxed structure of CeErAgRu at the PBE-GGA level of DFT.

Unit cell a=4.993 b=4.993 c=4.993 alpha=60.00 beta=60.00 gamma=60.00
Sites, in units of the cell vectors:
Ru 0.750 0.750 0.750
Ag 0.250 0.250 0.250
Ce 0.000 0.000 0.000
Er 0.500 0.500 0.500

The electronic total energy comes out at -23.604 eV/f.u. Its energy of formation from the pure elements is -0.245 eV/atom. The total magnetization comes out at 0.43 μB per formula unit. As for the space group: F-43m, No. 216.

=====

No. 10
Computed, not measured: a relaxed structure of AcTmThSn at the PBE-GGA level of DFT.

Unit cell a=5.595 b=5.595 c=5.595 alpha=60.00 beta=60.00 gamma=60.00
Sites, in units of the cell vectors:
Ac 0.750 0.750 0.750
Tm 0.500 0.500 0.500
Sn 0.250 0.250 0.250
Th 0.000 0.000 0.000

The electronic total energy comes out at -20.255 eV/f.u. Its energy of formation from the pure elements is -0.063 eV/atom. The total magnetization comes out at 0.00 μB per formula unit. As for the space group: F-43m, No. 216.

=====

No. 11
Computed, not measured: a relaxed structure of In2FeHg at the PBE-GGA level of DFT.

Unit cell a=5.409 b=5.409 c=5.409 alpha=133.31 beta=133.31 gamma=68.17
Sites, in units of the cell vectors:
Fe 0.250 0.750 0.500
Hg 0.750 0.250 0.500
In 0.000 0.000 0.000
In 0.500 0.500 0.000

The electronic total energy comes out at -12.811 eV/f.u. Its energy of formation from the pure elements is 0.358 eV/atom. The total magnetization comes out at 2.44 μB per formula unit. As for the space group: I4/mmm, No. 139.

=====

No. 12
Computed, not measured: a relaxed structure of CuSiC3 at the PBE-GGA level of DFT.

Unit cell a=2.632 b=3.184 c=6.456 alpha=92.14 beta=101.38 gamma=114.90
Sites, in units of the cell vectors:
Si 0.932 0.933 0.567
C 0.084 0.935 0.870
C 0.601 0.879 0.966
C 0.163 0.508 0.457
Cu 0.469 0.415 0.184

The electronic total energy comes out at -33.412 eV/f.u. For the uncorrected formation energy, the calculation gives 756 meV/atom. The total magnetization comes out at 0.00 μB per formula unit. As for the space group: P1, No. 1. As for the energy relative to the lowest polymorph listed for this composition: 281 meV per atom.

=====

No. 13
Computed, not measured: a relaxed structure of Zn2CoRe at the PBE-GGA level of DFT.

Unit cell a=4.230 b=4.230 c=4.230 alpha=60.00 beta=60.00 gamma=60.00
Sites, in units of the cell vectors:
Re 0.500 0.500 0.500
Zn 0.250 0.250 0.250
Zn 0.750 0.750 0.750
Co 0.000 0.000 0.000

The electronic total energy comes out at -20.488 eV/f.u. Its energy of formation from the pure elements is 0.403 eV/atom. The total magnetization comes out at 2.47 μB per formula unit. As for the space group: Fm-3m, No. 225. As for the energy relative to the lowest polymorph listed for this composition: 386 meV per atom.

=====

No. 14
Computed, not measured: a relaxed structure of Ca3Pr2NpN6 at the PBE-GGA level of DFT.

Unit cell a=6.215 b=6.215 c=6.111 alpha=99.76 beta=99.76 gamma=120.10
Sites, in units of the cell vectors:
Ca 0.159 0.841 0.500
Ca 0.841 0.159 0.500
Ca 0.500 0.500 0.500
Pr 0.333 0.667 0.000
Pr 0.667 0.333 0.000
Np 0.000 0.000 0.000
N 0.925 0.631 0.775
N 0.779 0.779 0.216
N 0.075 0.369 0.225
N 0.631 0.925 0.775
N 0.221 0.221 0.784
N 0.369 0.075 0.225

The electronic total energy comes out at -92.945 eV/f.u. For the uncorrected formation energy, the calculation gives -1207 meV/atom. The total magnetization comes out at 1.00 μB per formula unit. As for the space group: C2/m, No. 12.

=====

No. 15
Computed, not measured: a relaxed structure of LiMg6Tl12 at the PBE-GGA level of DFT.

Unit cell a=8.004 b=8.004 c=8.004 alpha=89.27 beta=89.27 gamma=89.27
Sites, in units of the cell vectors:
Li 0.000 0.000 0.000
Mg 0.726 0.889 0.266
Mg 0.734 0.274 0.111
Mg 0.111 0.734 0.274
Mg 0.274 0.111 0.734
Mg 0.266 0.726 0.889
Mg 0.889 0.266 0.726
Tl 0.801 0.537 0.444
Tl 0.444 0.801 0.537
Tl 0.537 0.444 0.801
Tl 0.199 0.463 0.556
Tl 0.556 0.199 0.463
Tl 0.463 0.556 0.199
Tl 0.019 0.144 0.359
Tl 0.856 0.641 0.981
Tl 0.641 0.981 0.856
Tl 0.981 0.856 0.641
Tl 0.144 0.359 0.019
Tl 0.359 0.019 0.144

The electronic total energy comes out at -39.892 eV/f.u. Its energy of formation from the pure elements is -0.001 eV/atom. The total magnetization comes out at 0.00 μB per formula unit. As for the space group: R-3, No. 148.

=====

No. 16
Computed, not measured: a relaxed structure of Tb5Dy2Sc4 at the PBE-GGA level of DFT.

Unit cell a=3.513 b=8.694 c=10.775 alpha=85.35 beta=90.00 gamma=90.00
Sites, in units of the cell vectors:
Tb 0.000 0.453 0.333
Tb 0.000 0.852 0.134
Tb 0.000 0.500 0.000
Tb 0.000 0.148 0.866
Tb 0.000 0.547 0.667
Dy 0.000 0.925 0.637
Dy 0.000 0.075 0.363
Sc 0.500 0.248 0.574
Sc 0.500 0.799 0.871
Sc 0.500 0.752 0.426
Sc 0.500 0.201 0.129

The electronic total energy comes out at -56.493 eV/f.u. Its energy of formation from the pure elements is 0.108 eV/atom. The total magnetization comes out at 0.00 μB per formula unit. As for the space group: P2/m, No. 10. As for the energy relative to the lowest polymorph listed for this composition: 0 meV per atom.

=====

No. 17
Computed, not measured: a relaxed structure of HgTeW2 at the PBE-GGA level of DFT.

Unit cell a=4.731 b=3.116 c=5.521 alpha=76.32 beta=90.00 gamma=90.00
Sites, in units of the cell vectors:
Hg 0.000 0.532 0.522
Te 0.500 0.946 0.771
W 0.000 0.760 0.016
W 0.500 0.262 0.190

The electronic total energy comes out at -25.909 eV/f.u. For the uncorrected formation energy, the calculation gives 860 meV/atom. The total magnetization comes out at 0.00 μB per formula unit. As for the space group: Pm, No. 6. As for the energy relative to the lowest polymorph listed for this composition: 409 meV per atom.

=====

No. 18
Computed, not measured: a relaxed structure of BaNaBiPb at the PBE-GGA level of DFT.

Unit cell a=5.844 b=5.844 c=5.844 alpha=60.00 beta=60.00 gamma=60.00
Sites, in units of the cell vectors:
Pb 0.250 0.250 0.250
Na 0.000 0.000 0.000
Bi 0.750 0.750 0.750
Ba 0.500 0.500 0.500

The electronic total energy comes out at -12.337 eV/f.u. Its energy of formation from the pure elements is -0.376 eV/atom. The total magnetization comes out at 0.00 μB per formula unit. As for the space group: F-43m, No. 216.

=====

No. 19
Computed, not measured: a relaxed structure of Zr2TcTe at the PBE-GGA level of DFT.

Unit cell a=5.153 b=5.153 c=5.153 alpha=129.29 beta=129.29 gamma=74.55
Sites, in units of the cell vectors:
Tc 0.250 0.750 0.500
Te 0.750 0.250 0.500
Zr 0.000 0.000 0.000
Zr 0.500 0.500 0.000

The electronic total energy comes out at -31.421 eV/f.u. For the uncorrected formation energy, the calculation gives -204 meV/atom. The total magnetization comes out at 0.20 μB per formula unit. As for the space group: I4/mmm, No. 139.

=====

No. 20
Computed, not measured: a relaxed structure of Tb2Pr8Ho3 at the PBE-GGA level of DFT.

Unit cell a=5.773 b=7.756 c=10.991 alpha=110.66 beta=90.02 gamma=90.00
Sites, in units of the cell vectors:
Tb 0.499 0.240 0.479
Tb 0.501 0.760 0.521
Pr 0.001 0.674 0.348
Pr 0.999 0.326 0.652
Pr 0.000 0.130 0.261
Pr 0.000 0.870 0.739
Pr 0.500 0.599 0.790
Pr 0.500 0.191 0.790
Pr 0.500 0.809 0.210
Pr 0.500 0.401 0.210
Ho 0.500 0.000 0.000
Ho 0.000 0.285 0.000
Ho 0.000 0.715 0.000

The electronic total energy comes out at -58.673 eV/f.u. Its energy of formation from the pure elements is 0.197 eV/atom. The total magnetization comes out at 0.00 μB per formula unit. As for the space group: C2/m, No. 12.

=====

no.,density (g/cm3)
1,9.0
2,4.5
3,5.5
4,6.8
5,9.2
6,7.0
7,1.6
8,4.6
9,9.7
10,10.0
11,9.8
12,4.4
13,11.7
14,6.3
15,8.4
16,6.6
17,14.6
18,6.8
19,8.5
20,7.0